1.
DFT (GGA-PBE) results for a relaxed Tb6Y2Er3Mg crystal.

## Properties
DFT formation energy in kJ/mol of formula units: 30
E in eV per atom: -4.64

Unit cell a=6.1100 b=10.5902 c=11.6578 alpha=90.00 beta=100.14 gamma=90.00
Last column: nearest neighbours and their distance in Å.
Space group C2/m (No. 12)
Symmetry-distinct sites (fractional):
Tb (0.2489, 0.1663, 0.2503) [8 per cell]  3 Er 3.51-3.52, 1 Mg 3.52, 6 Tb 3.52-3.53, 2 Y 3.52-3.53
Tb (0.2501, 0.0000, 0.7485) [4 per cell]  3 Er 3.50, 6 Tb 3.52-3.53, 2 Y 3.53, 1 Mg 3.54
Y (0.0000, 0.3338, 0.0000) [4 per cell]  3 Y 3.52-3.53, 6 Tb 3.52-3.53, 3 Mg 3.53
Er (0.0000, 0.1662, 0.5000) [4 per cell]  6 Tb 3.50-3.52, 6 Er 3.52-3.53
Er (0.0000, 0.5000, 0.5000) [2 per cell]  6 Tb 3.50-3.51, 6 Er 3.53
Mg (0.0000, 0.0000, 0.0000) [2 per cell]  6 Tb 3.52-3.54, 6 Y 3.53

=====

2.
DFT (GGA-PBE) results for a relaxed Mg2Pd7Au2 crystal.

## Properties
DFT formation energy in kJ/mol of formula units: -251
E in eV per atom: -4.43
Energy above the most stable polymorph in this dataset in eV/f.u.: 0.16

Unit cell a=4.9687 b=6.4931 c=6.5348 alpha=91.07 beta=109.12 gamma=108.81
Last column: nearest neighbours and their distance in Å.
Space group P-1 (No. 2)
Symmetry-distinct sites (fractional):
Mg (0.1531, 0.3793, 0.3808) [2 per cell]  5 Pd 2.60-2.83
Pd (0.0000, 0.0000, 0.0000) [1 per cell]  6 Pd 2.66-2.70
Pd (0.1673, 0.4149, 0.9229) [2 per cell]  6 Pd 2.66-2.93, 2 Au 2.76-2.78, 1 Mg 2.77
Pd (0.1681, 0.9234, 0.4142) [2 per cell]  6 Pd 2.67-2.92, 2 Au 2.76-2.79, 1 Mg 2.77
Pd (0.4484, 0.7298, 0.7307) [2 per cell]  3 Mg 2.60-2.83, 5 Pd 2.67-2.84, 1 Au 2.91
Au (0.4992, 0.1859, 0.8136) [2 per cell]  10 Pd 2.76-3.03

=====

3.
DFT (GGA-PBE) results for a relaxed ThZr2Mo crystal.

## Properties
DFT formation energy in kJ/mol of formula units: 16
E in eV per atom: -8.80
Energy above the most stable polymorph in this dataset in eV/f.u.: 0.00

Unit cell a=3.4053 b=3.4053 c=8.0105 alpha=90.00 beta=90.00 gamma=90.00
Last column: nearest neighbours and their distance in Å.
Space group P4/mmm (No. 123)
Symmetry-distinct sites (fractional):
Th (0.0000, 0.0000, 0.0000) [1 per cell]  4 Th 3.41, 8 Zr 3.42
Zr (0.5000, 0.5000, 0.3031) [2 per cell]  4 Mo 2.88, 1 Zr 3.15
Mo (0.0000, 0.0000, 0.5000) [1 per cell]  8 Zr 2.88

=====

4.
DFT (GGA-PBE) results for a relaxed RbCd2SnBi crystal.

## Properties
DFT formation energy in kJ/mol of formula units: -66
E in eV per atom: -2.27
Energy above the most stable polymorph in this dataset in eV/f.u.: 0.00

Unit cell a=5.1002 b=5.3174 c=12.4862 alpha=90.00 beta=90.00 gamma=90.00
Last column: nearest neighbours and their distance in Å.
Space group Imm2 (No. 44)
Symmetry-distinct sites (fractional):
Rb (0.0000, 0.0000, 0.0000) [2 per cell]  4 Bi 3.94, 4 Sn 3.97-4.16, 8 Cd 4.02-4.11
Cd (0.0000, 0.0000, 0.6310) [2 per cell]  2 Cd 2.90, 2 Sn 3.01, 1 Bi 3.04
Cd (0.0000, 0.5000, 0.2418) [2 per cell]  2 Cd 2.90, 2 Bi 3.22
Sn (0.0000, 0.5000, 0.7441) [2 per cell]  2 Cd 3.01, 2 Bi 3.12
Bi (0.0000, 0.0000, 0.3875) [2 per cell]  3 Cd 3.04-3.22, 2 Sn 3.12

=====

5.
DFT (GGA-PBE) results for a relaxed U2SeS3 crystal.

## Properties
E in eV per atom: -7.63
Energy above the most stable polymorph in this dataset in eV/f.u.: 0.47
Uncorrected formation energy in eV per atom: -1.2194

Unit cell a=5.3380 b=4.1550 c=13.8745 alpha=90.00 beta=100.20 gamma=90.00
Last column: nearest neighbours and their distance in Å.
Space group P2_1/m (No. 11)
Symmetry-distinct sites (fractional):
U (0.1062, 0.2500, 0.1321) [2 per cell]  5 S 2.64-2.82
U (0.1121, 0.7500, 0.6275) [2 per cell]  4 S 2.62-2.68, 2 Se 2.91
Se (0.1628, 0.7500, 0.2883) [2 per cell]  4 U 2.91-2.98
S (0.2379, 0.7500, 0.0346) [2 per cell]  3 U 2.64-2.69
S (0.2597, 0.2500, 0.5296) [2 per cell]  3 U 2.67-2.68
S (0.3607, 0.7500, 0.8085) [2 per cell]  3 U 2.62-2.82

=====

6.
DFT (GGA-PBE) results for a relaxed KSr2AsO crystal.

## Properties
E in eV per atom: -4.27
Uncorrected formation energy in eV per atom: -1.4575

Unit cell a=5.0674 b=5.0674 c=5.0214 alpha=90.00 beta=90.00 gamma=90.00
Last column: nearest neighbours and their distance in Å.
Space group P4/mmm (No. 123)
Symmetry-distinct sites (fractional):
K (0.0000, 0.0000, 0.0000) [1 per cell]  2 O 2.51
Sr (0.0000, 0.5000, 0.5000) [2 per cell]  2 O 2.53
As (0.5000, 0.5000, 0.0000) [1 per cell]  8 Sr 3.57, 4 K 3.58
O (0.0000, 0.0000, 0.5000) [1 per cell]  2 K 2.51, 4 Sr 2.53

=====

7.
DFT (GGA-PBE) results for a relaxed NaTl2Rh2 crystal.

## Properties
DFT formation energy in kJ/mol of formula units: -8
E in eV per atom: -4.17
Energy above the most stable polymorph in this dataset in eV/f.u.: 0.00

Unit cell a=7.8950 b=7.8950 c=3.1874 alpha=90.00 beta=90.00 gamma=90.00
Last column: nearest neighbours and their distance in Å.
Space group P4/mbm (No. 127)
Symmetry-distinct sites (fractional):
Na (0.0000, 0.0000, 0.0000) [2 per cell]  4 Rh 3.09, 2 Na 3.19, 8 Tl 3.35
Tl (0.1661, 0.3339, 0.5000) [4 per cell]  6 Rh 2.77-2.85
Rh (0.1306, 0.6306, 0.0000) [4 per cell]  6 Tl 2.77-2.85, 1 Rh 2.92, 2 Na 3.09

=====

8.
DFT (GGA-PBE) results for a relaxed Zr3GaRh crystal.

## Properties
DFT formation energy in kJ/mol of formula units: 90
E in eV per atom: -7.02
Energy above the most stable polymorph in this dataset in eV/f.u.: 0.00

Unit cell a=5.0002 b=5.0002 c=5.0002 alpha=90.00 beta=90.00 gamma=90.00
Last column: nearest neighbours and their distance in Å.
Space group Pm-3m (No. 221)
Symmetry-distinct sites (fractional):
Zr (0.0000, 0.0000, 0.5000) [3 per cell]  2 Rh 2.50
Ga (0.5000, 0.5000, 0.5000) [1 per cell]  12 Zr 3.54
Rh (0.0000, 0.0000, 0.0000) [1 per cell]  6 Zr 2.50